# LiRu2O PBE optimized geometry
# N(E_F) ... 1.07 states/eV per atom
# Total magnetic moment ... 0.00 μB/cell
# Mass density ... 7.506 g/cm³
# Calculated total energy ... -6.31 eV per atom
data_LiRu2O
_chemical_formula_sum 'Li4 Ru8 O4'
_cell_length_a 6.924
_cell_length_b 6.924
_cell_length_c 4.155
_cell_angle_alpha 90.00
_cell_angle_beta 90.00
_cell_angle_gamma 90.00
_symmetry_space_group_name_H-M 'I -4 2 d'
_symmetry_Int_Tables_number 122
_symmetry_space_group_name_Hall 'I -4 2bw'
loop_
_atom_site_label
_atom_site_type_symbol
_atom_site_fract_x
_atom_site_fract_y
_atom_site_fract_z
Li1 Li 0.000 0.000 0.000
Ru1 Ru 0.143 0.250 0.625
O1 O 0.000 0.000 0.500